(1)
# HfBe2Ir

Crystalline HfBe2Ir at its relaxed geometry (PBE, the Open Quantum Materials Database).

Properties
uncorrected energy: -27.48 eV/cell

Unit cell a=4.272 b=4.272 c=4.272 alpha=60.00 beta=60.00 gamma=60.00
Sites, in units of the cell vectors:
Hf1 0.000 0.000 0.000
Be1 0.500 0.500 0.500
Be2 0.750 0.750 0.750
Ir1 0.250 0.250 0.250

(2)
# HfBe2Ir2

Crystalline HfBe2Ir2 at its relaxed geometry (PBE, the Open Quantum Materials Database).

Properties
uncorrected energy: -77.22 eV/cell

Unit cell a=6.756 b=6.756 c=2.845 alpha=90.00 beta=90.00 gamma=90.00
Sites, in units of the cell vectors:
Hf1 0.000 0.000 0.000
Hf2 0.500 0.500 0.000
Be1 0.116 0.384 0.000
Be2 0.384 0.884 0.000
Be3 0.616 0.116 0.000
Be4 0.884 0.616 0.000
Ir1 0.173 0.673 0.500
Ir2 0.327 0.173 0.500
Ir3 0.673 0.827 0.500
Ir4 0.827 0.327 0.500

Values for theoretical density, g cm⁻³, ordered as above
11.71, 14.86